Entry 1:
First-principles (PBE) data for a geometry-optimized ScN structure, as listed in Alexandria.

Summary:
For the formation energy from raw total energies, the calculation gives -3.0 eV per formula unit. As for the total magnetic moment: 0.0 Bohr magnetons per cell.

a b c (Å): 5.763 5.763 5.763
angles (deg): 109.47 109.47 109.47
Fractional coordinates of all 8 atoms:
Sc1 0.000 0.000 0.321
Sc2 0.000 0.321 0.000
Sc3 0.321 0.000 0.000
Sc4 0.679 0.679 0.679
N1 0.000 0.000 0.684
N2 0.000 0.684 0.000
N3 0.316 0.316 0.316
N4 0.684 0.000 0.000



Entry 2:
First-principles (PBE) data for a geometry-optimized SnPSN2 structure, as listed in Alexandria.

Summary:
For the energy above the most stable polymorph in this dataset, the calculation gives 0.00 eV/f.u. For the formation energy from raw total energies, the calculation gives 3.8 eV per formula unit. As for the total magnetic moment: 0.5 Bohr magnetons per cell.

a b c (Å): 3.676 3.676 4.673
angles (deg): 90.00 90.00 90.00
Fractional coordinates of all 5 atoms:
Sn1 0.000 0.000 0.000
P1 0.500 0.500 0.500
S1 0.500 0.500 0.000
N1 0.000 0.500 0.500
N2 0.500 0.000 0.500